1.
MnCd2Pt | meta-GGA SCAN | single point on PBEsol structure

Properties
Symmetry ... I4/mmm (139)
E_form ... -0.331 eV/atom

Cell: 4.0744 4.0744 4.9332 Å, 114.39 114.39 90.00°
Last column: magnetic moment on the atom in μB.
Atoms (fractional coordinates):
Mn 0.0000 0.0000 0.0000  4.16
Cd 0.7500 0.2500 0.5000  -0.03
Cd 0.2500 0.7500 0.5000  -0.03
Pt 0.5000 0.5000 0.0000  0.13


2.
NaCa3Cu | meta-GGA SCAN | single point on PBEsol structure

Properties
Symmetry ... Pm-3m (221)
E_form ... 0.001 eV/atom

Cell: 5.6092 5.6092 5.6092 Å, 90.00 90.00 90.00°
Atoms (fractional coordinates):
Ca 0.5000 0.0000 0.0000
Ca 0.0000 0.0000 0.5000
Ca 0.0000 0.5000 0.0000
Na 0.5000 0.5000 0.5000
Cu 0.0000 0.0000 0.0000


3.
Ta2AgHg | meta-GGA SCAN | single point on PBEsol structure

Properties
Symmetry ... P4mm (99)
E_form ... 0.280 eV/atom

Cell: 3.4253 3.4253 6.1475 Å, 90.00 90.00 90.00°
Atoms (fractional coordinates):
Ag 0.0000 0.0000 0.5027
Ta 0.5000 0.5000 0.2359
Ta 0.0000 0.0000 0.0190
Hg 0.5000 0.5000 0.7426


4.
MgSb3Au | meta-GGA SCAN | single point on PBEsol structure

Properties
Symmetry ... Pm-3m (221)
Formation energy without anion corrections ... 805 meV/atom

Cell: 5.2059 5.2059 5.2059 Å, 90.00 90.00 90.00°
Atoms (fractional coordinates):
Sb 0.5000 0.0000 0.0000
Sb 0.0000 0.5000 0.0000
Sb 0.0000 0.0000 0.5000
Au 0.5000 0.5000 0.5000
Mg 0.0000 0.0000 0.0000


5.
Be2CdAu2 | meta-GGA SCAN | single point on PBEsol structure

Properties
Symmetry ... I4/mmm (139)
E_form ... -0.276 eV/atom

Cell: 3.4032 3.4032 6.7804 Å, 104.53 104.53 90.00°
Atoms (fractional coordinates):
Be 0.7500 0.2500 0.5000
Be 0.2500 0.7500 0.5000
Cd 0.0000 0.0000 0.0000
Au 0.3779 0.3779 0.7559
Au 0.6221 0.6221 0.2441


6.
La2MgSc | meta-GGA SCAN | single point on PBEsol structure

Properties
Symmetry ... Imm2 (44)
E_form ... -0.015 eV/atom

Cell: 3.7285 5.5799 6.4867 Å, 115.47 106.70 90.00°
Atoms (fractional coordinates):
Mg 0.4868 0.9868 0.9737
Sc 0.7685 0.7685 0.5369
La 0.0052 0.5052 0.0104
La 0.2395 0.2395 0.4791


no.,size of the total moment (μB per atom)
1,1.08
2,0.00
3,0.00
4,0.00
5,0.00
6,0.00